Entry 1:
## Sm4ErPa3P8 (PBE)

Data for Sm4ErPa3P8 after structural relaxation.

abc: 8.0516 8.0684 8.0505
angles: 119.92 120.00 90.00
Closest atoms and distances in Å follow each position.
Positions (direct):
P: 0.2564 0.2626 0.0095  2 Pa 2.80, 1 Er 2.82, 3 Sm 2.89-2.90
Pa: 0.5000 0.5000 0.5000  6 P 2.80-2.81
Sm: 0.5000 0.0000 0.0000  6 P 2.89
Er: 0.0000 0.5000 0.0000  6 P 2.82
Sm: 0.0000 0.0000 0.5000  6 P 2.89-2.90
Sm: 0.0000 0.0000 0.0000  6 P 2.89-2.90
P: 0.2469 0.7374 0.9905  2 Pa 2.80, 1 Er 2.82, 3 Sm 2.89-2.90
Pa: 0.0000 0.5000 0.5000  6 P 2.80-2.81
P: 0.2537 0.2610 0.5073  3 Pa 2.81, 3 Sm 2.89
Sm: 0.5000 0.0000 0.5000  6 P 2.89-2.90
P: 0.2470 0.7375 0.4939  2 Pa 2.80, 1 Er 2.82, 3 Sm 2.89-2.90
Pa: 0.5000 0.5000 0.0000  6 P 2.80-2.81
P: 0.7530 0.2625 0.5061  2 Pa 2.80, 1 Er 2.82, 3 Sm 2.89-2.90
P: 0.7463 0.7390 0.4927  3 Pa 2.81, 3 Sm 2.89
P: 0.7531 0.2626 0.0095  2 Pa 2.80, 1 Er 2.82, 3 Sm 2.89-2.90
P: 0.7436 0.7374 0.9905  2 Pa 2.80, 1 Er 2.82, 3 Sm 2.89-2.90

Output
volume: 23.1 Å³ per atom
uncorrected energy: -119.00 eV for the cell shown
calculated formation energy: -1.49 eV per atom

---

Entry 2:
## NaTaBeCu2 (PBE)

Data for NaTaBeCu2 after structural relaxation.

abc: 4.2411 4.9879 4.2411
angles: 90.00 90.00 90.00
Closest atoms and distances in Å follow each position.
Positions (direct):
Na: 0.0000 0.0000 0.0000  4 Cu 2.12
Cu: 0.0000 0.0000 0.5000  2 Na 2.12
Cu: 0.5000 0.0000 0.0000  2 Na 2.12
Ta: 0.0000 0.5000 0.0000  2 Na 2.49
Be: 0.5000 0.5000 0.5000  4 Ta 3.00, 8 Cu 3.27

Output
volume: 17.9 Å³ per atom
uncorrected energy: -15.09 eV for the cell shown
calculated formation energy: 2.00 eV per atom

---

Entry 3:
## CaCdCu (PBE)

Data for CaCdCu after structural relaxation.

abc: 5.8132 5.8132 5.8132
angles: 144.40 144.39 51.23
Closest atoms and distances in Å follow each position.
Positions (direct):
Cd: 0.3056 0.3056 0.0000  4 Cu 2.81, 1 Ca 3.12
Ca: 0.0077 0.0077 0.0000  5 Cd 3.12-3.29, 5 Cu 3.14-3.37
Cu: 0.6866 0.6866 0.0000  4 Cd 2.81, 4 Ca 3.14

Output
volume: 22.1 Å³ per atom
uncorrected energy: -7.40 eV for the cell shown
calculated formation energy: -0.13 eV per atom

---

no.,theoretical density (g/cm3)
1,7.668
2,6.294
3,5.417